The following is a GGA-PBE calculation of a relaxed Li2MoCl crystal, from the Alexandria database.

Structure (extended XYZ):
```
4
Lattice="-1.3270 2.6189 0.3610 -2.3277 -0.9660 -1.5487 -3.5389 -2.7642 7.0432" Properties=species:S:1:pos:R:3 pbc="T T T"
Li -2.5247 0.2817 0.7940
Li -3.4849 -2.7220 6.9357
Cl -5.0057 -1.6562 5.7318
Mo -1.4867 -1.1613 2.9589
```

As for the space group: P4mm (99). As for the energy relative to the elements, uncorrected: 19 kJ/mol of formula units.

=====

The following is a GGA-PBE calculation of a relaxed LiMoCl2 crystal, from the Alexandria database.

Structure (extended XYZ):
```
4
Lattice="8.8165 0.0184 0.0109 8.2325 3.1555 0.0109 8.2325 1.5326 2.7584" Properties=species:S:1:pos:R:3 pbc="T T T"
Cl 0.3527 0.0657 0.0388
Cl 5.8204 1.0836 0.6401
Mo 18.7057 3.4824 2.0570
Li 13.0434 2.4283 1.4344
```

As for the space group: R3m (160). As for the energy relative to the elements, uncorrected: -141 kJ/mol of formula units.

=====

The following is a GGA-PBE calculation of a relaxed Li2MoCl crystal, from the Alexandria database.

Structure (extended XYZ):
```
4
Lattice="5.3845 0.0012 0.0040 2.7716 4.6164 -0.0040 -3.5205 -3.2936 2.3982" Properties=species:S:1:pos:R:3 pbc="T T T"
Li 3.7861 2.1435 0.0000
Li 0.2919 0.1653 0.0000
Cl 1.6646 1.8158 1.1971
Mo 2.9710 -0.4918 1.2011
```

As for the space group: Immm (71). As for the energy relative to the elements, uncorrected: 91 kJ/mol of formula units.

=====

The following is a GGA-PBE calculation of a relaxed LiMoCl2 crystal, from the Alexandria database.

Structure (extended XYZ):
```
4
Lattice="3.5559 0.0000 0.0000 0.0000 6.9304 0.0000 0.0000 0.0000 3.6711" Properties=species:S:1:pos:R:3 pbc="T T T"
Li 1.7779 0.0000 1.8356
Cl 1.7779 3.4652 0.0000
Cl 0.0000 0.0000 0.0000
Mo 0.0000 3.4652 1.8356
```

As for the space group: Pmmm (47). As for the energy relative to the elements, uncorrected: -76 kJ/mol of formula units.

=====

The following is a GGA-PBE calculation of a relaxed LiMoCl2 crystal, from the Alexandria database.

Structure (extended XYZ):
```
4
Lattice="5.3257 -0.0406 0.0085 0.5103 5.3013 -0.0085 -1.3904 -4.3250 2.7795" Properties=species:S:1:pos:R:3 pbc="T T T"
Mo 1.0189 1.8033 1.3855
Cl 2.9062 2.6197 0.0000
Cl 0.0118 0.0107 0.0000
Li 3.4266 -0.8676 1.3940
```

As for the space group: Immm (71). As for the energy relative to the elements, uncorrected: -89 kJ/mol of formula units.

=====

The following is a GGA-PBE calculation of a relaxed Li2MoCl crystal, from the Alexandria database.

Structure (extended XYZ):
```
4
Lattice="-4.7190 -2.0463 -0.4405 3.5160 0.0301 -3.7799 0.9903 -2.4812 0.8993" Properties=species:S:1:pos:R:3 pbc="T T T"
Li 0.0000 0.0000 0.0000
Li -0.6015 -1.0081 -2.1102
Mo -1.8644 -2.2638 0.2294
Cl 2.2531 -1.2256 -1.4403
```

As for the space group: Cmmm (65). As for the energy relative to the elements, uncorrected: 59 kJ/mol of formula units.